[1]
## UTa2Os (PBE)

Data for an optimized crystal structure of UTa2Os.

Computed properties:
The energy above the most stable polymorph in this dataset is 179 meV per atom. For the formation energy, the calculation gives 0.696 eV per formula unit. The space group is No. 123. As for the density of states at the Fermi level: 5.72 states/eV/cell.

```
UTa2Os
1.0
-1.434 4.490 -1.356
-2.758 -1.570 -2.282
-2.523 0.095 2.984
Os U Ta
1 1 2
Direct
0.500 0.000 0.000
0.500 0.500 0.500
0.000 0.000 0.500
0.000 0.500 0.000
```

=====

[2]
## Rb4Sm3DyTe8 (PBE)

Data for an optimized crystal structure of Rb4Sm3DyTe8.

Computed properties:
As for the formation energy without anion corrections: -1.397 eV/atom. The space group is No. 166.

```
Rb4Sm3DyTe8
1.0
9.169 0.000 0.000
0.000 10.050 0.617
-4.584 -4.582 6.485
Rb Sm Dy Te
4 3 1 8
Direct
0.500 0.000 0.000
0.500 0.000 0.500
0.000 0.000 0.000
0.000 0.000 0.500
0.500 0.500 0.000
0.500 0.500 0.500
0.000 0.500 0.500
0.000 0.500 0.000
0.232 0.701 0.970
0.232 0.701 0.463
0.266 0.297 0.531
0.738 0.701 0.970
0.262 0.299 0.030
0.734 0.703 0.469
0.768 0.299 0.537
0.768 0.299 0.030
```

=====

[3]
## Al2Ni2Rh (PBE)

Data for an optimized crystal structure of Al2Ni2Rh.

Computed properties:
The energy above the most stable polymorph in this dataset is 0 meV per atom. For the formation energy, the calculation gives -2.542 eV per formula unit. The space group is No. 127. As for the density of states at the Fermi level: 8.44 states/eV/cell.

```
Al2Ni2Rh
1.0
6.840 0.000 0.000
0.000 6.840 0.000
0.000 0.000 2.733
Ni Rh Al
4 2 4
Direct
0.377 0.877 0.000
0.877 0.623 0.000
0.623 0.123 0.000
0.123 0.377 0.000
0.000 0.000 0.000
0.500 0.500 0.000
0.175 0.675 0.500
0.675 0.825 0.500
0.825 0.325 0.500
0.325 0.175 0.500
```

=====

[4]
## BiSb3I (PBE)

Data for an optimized crystal structure of BiSb3I.

Computed properties:
The energy above the most stable polymorph in this dataset is 0 meV per atom. As for the formation energy without anion corrections: 0.865 eV/atom. The space group is No. 221. As for the density of states at the Fermi level: 10.38 states/eV/cell.

```
BiSb3I
1.0
-3.368 -4.281 -2.275
4.413 -1.561 -3.597
2.007 -3.753 4.091
I Sb Bi
1 3 1
Direct
0.500 0.500 0.500
0.000 0.500 0.000
0.000 0.000 0.500
0.500 0.000 0.000
0.000 0.000 0.000
```

=====

[5]
## TaCr2Ag (PBE)

Data for an optimized crystal structure of TaCr2Ag.

Computed properties:
The energy above the most stable polymorph in this dataset is 314 meV per atom. For the formation energy, the calculation gives 2.317 eV per formula unit. The space group is No. 71. As for the density of states at the Fermi level: 4.54 states/eV/cell.

```
TaCr2Ag
1.0
-4.475 -1.146 -1.921
-1.240 -4.822 0.496
1.268 4.041 2.664
Ag Cr Ta
1 2 1
Direct
0.250 0.750 0.500
0.989 0.989 0.000
0.511 0.511 0.000
0.750 0.250 0.500
```

=====

[6]
## Dy4YTl4 (PBE)

Data for an optimized crystal structure of Dy4YTl4.

Computed properties:
For the formation energy, the calculation gives -1.464 eV per formula unit. The space group is No. 86. As for the density of states at the Fermi level: 13.09 states/eV/cell.

```
Dy4YTl4
1.0
5.902 0.000 0.000
0.000 9.429 0.000
0.000 0.000 9.429
Dy Y Tl
8 2 8
Direct
0.382 0.422 0.841
0.882 0.659 0.922
0.382 0.578 0.159
0.118 0.078 0.659
0.618 0.841 0.578
0.118 0.922 0.341
0.882 0.341 0.078
0.618 0.159 0.422
0.000 0.000 0.000
0.500 0.500 0.500
0.611 0.897 0.209
0.611 0.103 0.791
0.111 0.709 0.603
0.889 0.397 0.709
0.889 0.603 0.291
0.389 0.209 0.103
0.389 0.791 0.897
0.111 0.291 0.397
```

=====

[7]
## B3W6C (PBE)

Data for an optimized crystal structure of B3W6C.

Computed properties:
For the formation energy, the calculation gives -1.552 eV per formula unit. The space group is No. 14. As for the density of states at the Fermi level: 8.91 states/eV/cell.

```
B3W6C
1.0
5.294 0.000 0.012
0.000 5.845 0.000
-0.016 0.000 7.771
B W C
6 12 2
Direct
0.557 0.873 0.749
0.500 0.500 0.000
0.443 0.127 0.251
0.057 0.627 0.249
0.000 0.000 0.500
0.943 0.373 0.751
0.662 0.175 0.928
0.656 0.181 0.571
0.672 0.468 0.251
0.328 0.532 0.749
0.344 0.819 0.429
0.338 0.825 0.072
0.162 0.325 0.428
0.156 0.319 0.071
0.172 0.032 0.751
0.828 0.968 0.249
0.844 0.681 0.929
0.838 0.675 0.572
0.500 0.500 0.500
0.000 0.000 0.000
```

=====

[8]
## K4MgI6 (PBE)

Data for an optimized crystal structure of K4MgI6.

Computed properties:
As for the formation energy without anion corrections: -1.327 eV/atom. The space group is No. 9. As for the density of states at the Fermi level: 0.00 states/eV/cell.

```
K4MgI6
1.0
8.616 0.000 2.602
3.962 8.349 2.446
-0.200 -0.278 16.232
K Mg I
8 2 12
Direct
0.337 0.962 0.637
0.065 0.462 0.137
0.804 0.275 0.459
0.462 0.775 0.959
0.991 0.649 0.653
0.708 0.149 0.153
0.677 0.245 0.807
0.271 0.745 0.307
0.671 0.784 0.400
0.146 0.284 0.900
0.399 0.531 0.140
0.929 0.031 0.640
0.445 0.654 0.495
0.405 0.154 0.995
0.541 0.091 0.434
0.935 0.591 0.934
0.999 0.074 0.942
0.984 0.574 0.442
0.999 0.141 0.259
0.601 0.641 0.759
0.309 0.281 0.729
0.681 0.781 0.229
```

=====

[9]
## Sm2TlHg5 (PBE)

Data for an optimized crystal structure of Sm2TlHg5.

Computed properties:
For the formation energy, the calculation gives -2.613 eV per formula unit. The space group is No. 55. As for the density of states at the Fermi level: 14.95 states/eV/cell.

```
Sm2TlHg5
1.0
-4.331 1.073 -1.710
-2.736 -2.232 5.531
0.888 11.995 5.279
Sm Tl Hg
4 2 10
Direct
0.500 0.253 0.626
0.500 0.747 0.374
0.500 0.247 0.126
0.500 0.753 0.874
0.000 0.000 0.500
0.000 0.500 0.000
0.000 0.000 0.000
0.000 0.500 0.500
0.000 0.503 0.749
0.000 0.497 0.251
0.000 0.997 0.249
0.000 0.003 0.751
0.500 0.249 0.875
0.500 0.751 0.125
0.500 0.251 0.375
0.500 0.749 0.625
```

=====

[10]
## Rh2AuF (PBE)

Data for an optimized crystal structure of Rh2AuF.

Computed properties:
The energy above the most stable polymorph in this dataset is 127 meV per atom. As for the formation energy without anion corrections: 0.392 eV/atom. The space group is No. 122. As for the density of states at the Fermi level: 9.06 states/eV/cell.

```
Rh2AuF
1.0
3.922 0.000 0.000
0.000 3.922 0.000
1.961 1.961 8.586
Rh Au F
4 2 2
Direct
0.571 0.125 0.250
0.179 0.625 0.250
0.375 0.429 0.750
0.875 0.821 0.750
0.000 0.000 0.000
0.750 0.250 0.500
0.500 0.500 0.000
0.250 0.750 0.500
```

=====

[11]
## CdSb3P (PBE)

Data for an optimized crystal structure of CdSb3P.

Computed properties:
The energy above the most stable polymorph in this dataset is 0 meV per atom. As for the formation energy without anion corrections: 0.542 eV/atom. The space group is No. 221. As for the density of states at the Fermi level: 4.96 states/eV/cell.

```
CdSb3P
1.0
5.251 0.000 0.000
0.000 5.251 0.000
0.000 0.000 5.251
Sb P Cd
3 1 1
Direct
0.000 0.500 0.000
0.000 0.000 0.500
0.500 0.000 0.000
0.000 0.000 0.000
0.500 0.500 0.500
```